(P)
Computed, not measured: a relaxed TaSn2Pd crystal at the PBE-GGA level of DFT.

```
data_TaSn2Pd
_chemical_formula_sum 'Ta3 Sn6 Pd3'
_cell_length_a 3.1252
_cell_length_b 3.1252
_cell_length_c 29.9200
_cell_angle_alpha 90.00
_cell_angle_beta 90.00
_cell_angle_gamma 120.00
_symmetry_space_group_name_H-M 'R -3 m'
_symmetry_Int_Tables_number 166
_symmetry_space_group_name_Hall '-R 3 2"'
loop_
_atom_site_label
_atom_site_type_symbol
_atom_site_fract_x
_atom_site_fract_y
_atom_site_fract_z
Ta1 Ta 0.0000 0.0000 0.0000
Sn1 Sn 0.0000 0.0000 0.4131
Pd1 Pd 0.0000 0.0000 0.5000
```

Values from the calculation:
N(E_F), states/eV per atom: 0.37
Magnetic moment, μB per formula unit: 0.00

---

(Q)
Computed, not measured: a relaxed TaSn2Pd crystal at the PBE-GGA level of DFT.

```
data_TaSn2Pd
_chemical_formula_sum 'Ta4 Sn8 Pd4'
_cell_length_a 4.290
_cell_length_b 4.290
_cell_length_c 18.921
_cell_angle_alpha 90.00
_cell_angle_beta 90.00
_cell_angle_gamma 90.00
_symmetry_space_group_name_H-M 'I -4 2 d'
_symmetry_Int_Tables_number 122
_symmetry_space_group_name_Hall 'I -4 2bw'
loop_
_atom_site_label
_atom_site_type_symbol
_atom_site_fract_x
_atom_site_fract_y
_atom_site_fract_z
Ta1 Ta 0.000 0.000 0.000
Sn1 Sn 0.245 0.250 0.625
Pd1 Pd 0.000 0.000 0.500
```

Values from the calculation:
N(E_F), states/eV per atom: 0.73
Magnetic moment, μB per formula unit: 0.00

---

Stability ranking, top and bottom: (P) is the most stable and (Q) is the least stable.

---

(P)
Computed, not measured: a relaxed TaSn3Pd crystal at the PBE-GGA level of DFT.

```
data_TaSn3Pd
_chemical_formula_sum 'Ta1 Sn3 Pd1'
_cell_length_a 5.331
_cell_length_b 5.331
_cell_length_c 5.331
_cell_angle_alpha 90.00
_cell_angle_beta 90.00
_cell_angle_gamma 90.00
_symmetry_space_group_name_H-M 'P m -3 m'
_symmetry_Int_Tables_number 221
_symmetry_space_group_name_Hall '-P 4 2 3'
loop_
_atom_site_label
_atom_site_type_symbol
_atom_site_fract_x
_atom_site_fract_y
_atom_site_fract_z
Ta1 Ta 0.000 0.000 0.000
Sn1 Sn 0.000 0.000 0.500
Pd1 Pd 0.500 0.500 0.500
```

Values from the calculation:
N(E_F), states/eV per atom: 0.96
Magnetic moment, μB per formula unit: 0.00

---

(Q)
Computed, not measured: a relaxed TaSn3Pd crystal at the PBE-GGA level of DFT.

```
data_TaSn3Pd
_chemical_formula_sum 'Ta1 Sn3 Pd1'
_cell_length_a 5.088
_cell_length_b 5.088
_cell_length_c 5.088
_cell_angle_alpha 90.00
_cell_angle_beta 90.00
_cell_angle_gamma 90.00
_symmetry_space_group_name_H-M 'P m -3 m'
_symmetry_Int_Tables_number 221
_symmetry_space_group_name_Hall '-P 4 2 3'
loop_
_atom_site_label
_atom_site_type_symbol
_atom_site_fract_x
_atom_site_fract_y
_atom_site_fract_z
Ta1 Ta 0.000 0.000 0.000
Sn1 Sn 0.000 0.500 0.500
Pd1 Pd 0.500 0.500 0.500
```

Values from the calculation:
N(E_F), states/eV per atom: 1.46
Magnetic moment, μB per formula unit: 0.01

---

Stability ranking, top and bottom: (P) is the most stable and (Q) is the least stable.